! Tb2NdEr3S6 GGA-PBE optimized geometry; values from VASP
! - Raw total energy: -6.361 eV/atom
! - Theoretical density: 7.52 g/cm³
! - Calculated volume: 21.285 Å³ per atom
! - Magnetization: 0.000 μB per formula unit
! - D(E_F): 5.1 states/eV/f.u.
! - Crystal system: monoclinic
! - SG: C2/m
&SYSTEM
  ibrav = 0, nat = 12, ntyp = 4
/
ATOMIC_SPECIES
Tb 158.93 Tb.upf
Nd 144.24 Nd.upf
Er 167.26 Er.upf
S 32.06 S.upf
CELL_PARAMETERS angstrom
3.380 -5.876 0.000
3.380 5.876 0.000
-2.259 0.000 6.430
ATOMIC_POSITIONS crystal
Tb 0.166 0.834 0.000
Tb 0.834 0.166 0.000
Nd 0.500 0.500 0.000
Er 0.000 0.000 0.500
Er 0.337 0.663 0.500
Er 0.663 0.337 0.500
S 0.072 0.413 0.739
S 0.245 0.245 0.259
S 0.413 0.072 0.739
S 0.587 0.928 0.261
S 0.755 0.755 0.741
S 0.928 0.587 0.261